10
Lattice="5.9749 1.1011 0.0019 1.1014 5.9663 0.0016 3.5377 3.5331 5.0100" Properties=species:S:1:pos:R:3 comment="Rb2TbHF6 | the Alexandria database | PBE-GGA | relaxed" energy_ev_per_cell=-51.38 pbc="T T T"
F 7.0752 7.0664 2.1668
Tb 0.0000 0.0000 0.0000
F 9.0849 9.0706 5.0116
F 3.5388 3.5341 2.8468
H 3.5381 3.5337 0.0018
F 1.5290 1.5299 0.0019
Rb 6.5255 4.0839 2.5109
F 7.8960 6.2445 5.0117
Rb 4.0885 6.5165 2.5026
F 2.7179 4.3560 0.0019



4
Lattice="-3.8586 -0.2511 1.7420 -3.4236 -0.3754 -2.4748 -1.4733 -11.8147 0.1963" Properties=species:S:1:pos:R:3 comment="KAc2Co | the Alexandria database | PBE-GGA | relaxed" formation_enthalpy_0k_kcal_per_mol_atoms=0.87 de_polymorph_mev_per_atom=40 pbc="T T T"
Ac -6.9296 -4.9144 -0.5700
Ac -1.8258 -7.5267 0.0336
K 0.0000 0.0000 0.0000
Co -4.3777 -6.2206 -0.2682



12
Lattice="6.9038 0.0000 0.0000 0.0000 6.1466 0.0000 0.0000 -3.0733 7.8049" Properties=species:S:1:pos:R:3 comment="CuH2SI2 | the Alexandria database | PBE-GGA | relaxed" energy_ev_per_cell=-37.46 pbc="T T T"
I 2.0829 3.2986 2.1961
H 1.4523 -1.8837 6.8237
I 2.0829 0.2253 5.6088
H 1.4523 1.1896 0.9812
H 4.9042 1.8837 6.8237
S 0.8719 0.4074 0.0000
Cu 5.6808 1.5078 0.0000
I 5.5348 -0.2253 5.6088
I 5.5348 2.8480 2.1961
H 4.9042 4.9570 0.9812
S 4.3238 5.7393 0.0000
Cu 2.2289 4.6389 0.0000



| no. | M_tot (μB/cell) |
| --- | --- |
| 1 | 0.2 |
| 2 | 0.0 |
| 3 | 0.0 |